A relaxed YMoCl2 crystal, computed with PBE.

Geometry as extended XYZ:
```
12
Lattice="3.197 0.000 0.000 -1.599 2.769 0.000 0.000 0.000 26.841" Properties=species:S:1:pos:R:3 pbc="T T T"
Y 0.000 0.000 0.000
Y 0.000 1.846 17.894
Y 1.599 0.923 8.947
Mo 0.000 0.000 13.421
Mo 0.000 1.846 4.474
Mo 1.599 0.923 22.368
Cl 0.000 0.000 10.994
Cl 0.000 0.000 15.847
Cl 0.000 1.846 2.047
Cl 0.000 1.846 6.900
Cl 1.599 0.923 19.941
Cl 1.599 0.923 24.794
```

Excess energy over the best structure of this formula in the dataset: 160 meV/atom
Uncorrected formation energy: -153.2 kJ/mol of formula units
DOS at the Fermi energy: 3.48 states/eV/f.u.
VASP energy: -5.6440 eV per atom
Spin magnetization: 0.000 μB per atom